1.
## SmDy3Sc (GGA-PBE)

Data for a geometry-optimized SmDy3Sc structure.

Values from the calculation:
- formation energy from the elements (eV per atom) = 0.040
- SG = R3m
- crystal system = trigonal

Cell: 3.5143 3.5143 42.5786 Å, 90.00 90.00 120.00°
Last column: nearest neighbours and their distance in Å.
Positions (direct):
Sm 0.0000 0.0000 0.0000  6 Sm 3.51, 6 Dy 3.56-3.59
Sm 0.3333 0.6667 0.6667  6 Sm 3.51, 6 Dy 3.56-3.59
Sm 0.6667 0.3333 0.3333  6 Sm 3.51, 6 Dy 3.56-3.59
Dy 0.0000 0.0000 0.4021  9 Dy 3.51-3.54, 3 Sm 3.56
Dy 0.0000 0.0000 0.5970  3 Sc 3.37, 6 Dy 3.51, 3 Sm 3.59
Dy 0.0000 0.0000 0.8036  3 Sc 3.38, 9 Dy 3.51-3.54
Dy 0.3333 0.6667 0.0687  9 Dy 3.51-3.54, 3 Sm 3.56
Dy 0.3333 0.6667 0.2636  3 Sc 3.37, 6 Dy 3.51, 3 Sm 3.59
Dy 0.3333 0.6667 0.4702  3 Sc 3.38, 9 Dy 3.51-3.54
Dy 0.6667 0.3333 0.1369  3 Sc 3.38, 9 Dy 3.51-3.54
Dy 0.6667 0.3333 0.7354  9 Dy 3.51-3.54, 3 Sm 3.56
Dy 0.6667 0.3333 0.9303  3 Sc 3.37, 6 Dy 3.51, 3 Sm 3.59
Sc 0.0000 0.0000 0.2003  6 Dy 3.37-3.38, 6 Sc 3.51
Sc 0.3333 0.6667 0.8670  6 Dy 3.37-3.38, 6 Sc 3.51
Sc 0.6667 0.3333 0.5337  6 Dy 3.37-3.38, 6 Sc 3.51

---

2.
## Er3Ge3Ir (GGA-PBE)

Data for a geometry-optimized Er3Ge3Ir structure.

Values from the calculation:
- formation energy from the elements (eV per atom) = -0.896
- SG = C2/m
- crystal system = monoclinic

Cell: 5.6713 5.6713 13.8976 Å, 108.12 108.12 44.07°
Last column: nearest neighbours and their distance in Å.
Positions (direct):
Er 0.0286 0.0286 0.3786  7 Ge 2.96-3.30, 4 Ir 2.99-3.31
Er 0.1025 0.1025 0.9228  7 Ge 2.91-3.17
Er 0.2418 0.2418 0.2332  2 Ir 3.01, 6 Ge 3.01-3.08
Er 0.7582 0.7582 0.7668  2 Ir 3.01, 6 Ge 3.01-3.08
Er 0.8975 0.8975 0.0772  7 Ge 2.91-3.17
Er 0.9714 0.9714 0.6214  7 Ge 2.96-3.30, 4 Ir 2.99-3.31
Ge 0.3619 0.3619 0.4629  3 Ir 2.49-2.70, 1 Ge 2.74
Ge 0.3804 0.3804 0.9262  2 Ge 2.65-2.66, 3 Er 2.91-2.95
Ge 0.4708 0.4708 0.7694  1 Ir 2.59, 1 Ge 2.65
Ge 0.5292 0.5292 0.2306  1 Ir 2.59, 1 Ge 2.65
Ge 0.6196 0.6196 0.0738  2 Ge 2.65-2.66, 3 Er 2.91-2.95
Ge 0.6381 0.6381 0.5371  3 Ir 2.49-2.70, 1 Ge 2.74
Ir 0.2513 0.2513 0.6124  4 Ge 2.49-2.70
Ir 0.7487 0.7487 0.3876  4 Ge 2.49-2.70

---

3.
## NdErAgAu (GGA-PBE)

Data for a geometry-optimized NdErAgAu structure.

Values from the calculation:
- formation energy from the elements (eV per atom) = -0.544
- SG = F-43m
- crystal system = cubic

Cell: 7.3252 7.3252 7.3252 Å, 90.00 90.00 90.00°
Last column: nearest neighbours and their distance in Å.
Positions (direct):
Nd 0.0000 0.0000 0.0000  4 Ag 3.17, 4 Au 3.17
Nd 0.0000 0.5000 0.5000  4 Ag 3.17, 4 Au 3.17
Nd 0.5000 0.0000 0.5000  4 Ag 3.17, 4 Au 3.17
Nd 0.5000 0.5000 0.0000  4 Ag 3.17, 4 Au 3.17
Er 0.0000 0.0000 0.5000  4 Au 3.17, 4 Ag 3.17
Er 0.0000 0.5000 0.0000  4 Au 3.17, 4 Ag 3.17
Er 0.5000 0.0000 0.0000  4 Au 3.17, 4 Ag 3.17
Er 0.5000 0.5000 0.5000  4 Au 3.17, 4 Ag 3.17
Ag 0.2500 0.2500 0.7500  4 Er 3.17, 4 Nd 3.17
Ag 0.2500 0.7500 0.2500  4 Er 3.17, 4 Nd 3.17
Ag 0.7500 0.2500 0.2500  4 Er 3.17, 4 Nd 3.17
Ag 0.7500 0.7500 0.7500  4 Er 3.17, 4 Nd 3.17
Au 0.2500 0.2500 0.2500  4 Nd 3.17, 4 Er 3.17
Au 0.2500 0.7500 0.7500  4 Er 3.17, 4 Nd 3.17
Au 0.7500 0.2500 0.7500  4 Er 3.17, 4 Nd 3.17
Au 0.7500 0.7500 0.2500  4 Nd 3.17, 4 Er 3.17